No. 1
MgCoAs2 | GGA-PBE | relaxed

```
MgCoAs2
1.0
-1.4663 1.8398 6.2511
1.4663 -1.8398 6.2511
1.4663 1.8398 -6.2511
Mg Co As
1 1 2
Direct
0.0000 0.0000 0.0000
0.7720 0.2720 0.5000
0.3351 0.8351 0.5000
0.6208 0.6208 0.0000
```

## Properties
Fermi-level density of states: 2.84 states/eV/f.u.
uncorrected energy: -4.664 eV per atom
space group: Imm2
ρ: 5738 kg/m3

***

No. 2
Cd2CuHg | GGA-PBE | relaxed

```
Cd2CuHg
1.0
-2.1695 2.1695 4.1851
2.1695 -2.1695 4.1851
2.1695 2.1695 -4.1851
Cd Cu Hg
2 1 1
Direct
0.2500 0.7500 0.5000
0.7500 0.2500 0.5000
0.0000 0.0000 0.0000
0.5000 0.5000 0.0000
```

## Properties
Fermi-level density of states: 1.38 states/eV/f.u.
uncorrected energy: -1.421 eV per atom
space group: I4/mmm
ρ: 10305 kg/m3

***

No. 3
MnAl2CrH | GGA-PBE | relaxed

```
MnAl2CrH
1.0
4.0504 0.0000 0.0000
0.0000 4.0504 0.0000
0.0000 0.0000 3.4478
Mn Al Cr H
1 2 1 1
Direct
0.0000 0.0000 0.0000
0.0000 0.5000 0.5000
0.5000 0.0000 0.5000
0.5000 0.5000 0.0000
0.5000 0.5000 0.5000
```

## Properties
Fermi-level density of states: 2.93 states/eV/f.u.
uncorrected energy: -5.943 eV per atom
space group: P4/mmm
ρ: 4753 kg/m3

***

No. 4
Nd3ZnPd12 | GGA-PBE | relaxed

```
Nd3ZnPd12
1.0
4.1805 0.0000 0.0000
0.0000 4.1805 0.0000
0.0000 0.0000 16.1790
Nd Zn Pd
3 1 12
Direct
0.0000 0.0000 0.0000
0.0000 0.0000 0.2618
0.0000 0.0000 0.7382
0.0000 0.0000 0.5000
0.0000 0.5000 0.1301
0.0000 0.5000 0.3915
0.0000 0.5000 0.6085
0.0000 0.5000 0.8699
0.5000 0.0000 0.1301
0.5000 0.0000 0.3915
0.5000 0.0000 0.6085
0.5000 0.0000 0.8699
0.5000 0.5000 0.0000
0.5000 0.5000 0.2599
0.5000 0.5000 0.5000
0.5000 0.5000 0.7401
```

## Properties
Fermi-level density of states: 14.66 states/eV/f.u.
uncorrected energy: -5.507 eV per atom
space group: P4/mmm
ρ: 10425 kg/m3

***

No. 5
CeSc2F | GGA-PBE | relaxed

```
CeSc2F
1.0
1.5275 0.8819 9.4998
-1.5275 0.8819 9.4998
0.0000 -1.7638 9.4998
Ce Sc F
1 2 1
Direct
0.0000 0.0000 0.0000
0.1056 0.1056 0.1056
0.8944 0.8944 0.8944
0.5000 0.5000 0.5000
```

## Properties
Fermi-level density of states: 4.34 states/eV/f.u.
formation energy (no corrections): -0.922 eV per atom
space group: R-3m
ρ: 5386 kg/m3

***

No. 6
VIn2Co | GGA-PBE | relaxed

```
VIn2Co
1.0
-3.7320 3.7320 2.7470
3.7320 -3.7320 2.7470
3.7320 3.7320 -2.7470
V In Co
2 4 2
Direct
0.0000 0.0000 0.0000
0.7500 0.2500 0.5000
0.1619 0.6250 0.0369
0.3750 0.4119 0.5369
0.5881 0.1250 0.9631
0.8750 0.8381 0.4631
0.2500 0.7500 0.5000
0.5000 0.5000 0.0000
```

## Properties
Fermi-level density of states: 5.01 states/eV/f.u.
space group: I-42d
E above lowest polymorph: 9.08 kcal/mol of atoms
ρ: 7367 kg/m3

***

No. 7
SbRu2O6 | GGA-PBE | relaxed

```
SbRu2O6
1.0
8.8509 0.0000 0.0000
-4.4254 7.6651 0.0000
0.0000 0.0000 4.7870
Sb Ru O
3 6 18
Direct
0.0000 0.0000 0.0000
0.3333 0.6667 0.4804
0.6667 0.3333 0.5196
0.0000 0.3571 0.0000
0.0000 0.6429 0.0000
0.3571 0.0000 0.0000
0.3571 0.3571 0.0000
0.6429 0.0000 0.0000
0.6429 0.6429 0.0000
0.0987 0.5494 0.7202
0.1187 0.2373 0.8012
0.1187 0.8813 0.8012
0.2248 0.4497 0.2288
0.2248 0.7752 0.2288
0.2373 0.1187 0.1988
0.4497 0.2248 0.7712
0.4506 0.5494 0.7202
0.4506 0.9013 0.7202
0.5494 0.0987 0.2798
0.5494 0.4506 0.2798
0.5503 0.7752 0.2288
0.7627 0.8813 0.8012
0.7752 0.2248 0.7712
0.7752 0.5503 0.7712
0.8813 0.1187 0.1988
0.8813 0.7627 0.1988
0.9013 0.4506 0.2798
```

## Properties
Fermi-level density of states: 5.81 states/eV/f.u.
formation energy (no corrections): -0.992 eV per atom
space group: P-3m1
ρ: 6441 kg/m3

***

No. 8
Fe3Si2Ge | GGA-PBE | relaxed

```
Fe3Si2Ge
1.0
4.9093 0.0000 0.0000
-2.4546 4.2516 0.0000
0.0000 0.0000 3.8484
Fe Si Ge
3 2 1
Direct
0.0000 0.5000 0.0000
0.5000 0.0000 0.0000
0.5000 0.5000 0.0000
0.3333 0.6667 0.5000
0.6667 0.3333 0.5000
0.0000 0.0000 0.0000
```

## Properties
Fermi-level density of states: 4.00 states/eV/f.u.
formation energy (no corrections): -0.272 eV per atom
space group: P6/mmm
ρ: 6126 kg/m3

***

No. 9
CrAs2P | GGA-PBE | relaxed

```
CrAs2P
1.0
-1.6859 1.7502 6.0880
1.6859 -1.7502 6.0880
1.6859 1.7502 -6.0880
Cr As P
1 2 1
Direct
0.0000 0.0000 0.0000
0.3408 0.8408 0.5000
0.6592 0.1592 0.5000
0.5000 0.5000 0.0000
```

## Properties
Fermi-level density of states: 2.32 states/eV/f.u.
uncorrected energy: -5.957 eV per atom
space group: Immm
ρ: 5380 kg/m3

***

No. 10
PmDy3Cd2 | GGA-PBE | relaxed

```
PmDy3Cd2
1.0
3.6719 0.0000 0.0000
0.0000 3.6719 0.0000
0.0000 0.0000 12.7109
Pm Dy Cd
1 3 2
Direct
0.0000 0.0000 0.0000
0.5000 0.5000 0.1966
0.5000 0.5000 0.5000
0.5000 0.5000 0.8034
0.0000 0.0000 0.3489
0.0000 0.0000 0.6511
```

## Properties
Fermi-level density of states: 6.91 states/eV/f.u.
uncorrected energy: -3.600 eV per atom
space group: P4/mmm
ρ: 8307 kg/m3

***

No. 11
ScTe3Rh | GGA-PBE | relaxed

```
ScTe3Rh
1.0
5.4429 0.0000 0.0000
0.0000 5.4429 0.0000
0.0000 0.0000 5.4429
Sc Te Rh
1 3 1
Direct
0.0000 0.0000 0.0000
0.0000 0.0000 0.5000
0.0000 0.5000 0.0000
0.5000 0.0000 0.0000
0.5000 0.5000 0.5000
```

## Properties
Fermi-level density of states: 5.33 states/eV/f.u.
formation energy (no corrections): 0.430 eV per atom
space group: Pm-3m
E above lowest polymorph: 9.80 kcal/mol of atoms
ρ: 5465 kg/m3

***

No. 12
RbAgCl3 | GGA-PBE | relaxed

```
RbAgCl3
1.0
5.1549 0.0000 0.0000
0.0000 5.1549 0.0000
0.0000 0.0000 5.1539
Rb Ag Cl
1 1 3
Direct
0.0000 0.0000 0.0000
0.5000 0.5000 0.4991
0.0000 0.5000 0.4994
0.5000 0.0000 0.4994
0.5000 0.5000 0.9991
```

## Properties
Fermi-level density of states: 1.38 states/eV/f.u.
formation energy (no corrections): -1.051 eV per atom
space group: P4mm
ρ: 3634 kg/m3

***

Q: What is the ρ in the eighth record?
A: 6126 kg/m3

***

Repeat the eighth record exactly.
Fe3Si2Ge | GGA-PBE | relaxed

```
Fe3Si2Ge
1.0
4.9093 0.0000 0.0000
-2.4546 4.2516 0.0000
0.0000 0.0000 3.8484
Fe Si Ge
3 2 1
Direct
0.0000 0.5000 0.0000
0.5000 0.0000 0.0000
0.5000 0.5000 0.0000
0.3333 0.6667 0.5000
0.6667 0.3333 0.5000
0.0000 0.0000 0.0000
```

## Properties
Fermi-level density of states: 4.00 states/eV/f.u.
formation energy (no corrections): -0.272 eV per atom
space group: P6/mmm
ρ: 6126 kg/m3

***

Q: What is the formula in the twelfth record?
A: RbAgCl3

***

Repeat the third record exactly.
MnAl2CrH | GGA-PBE | relaxed

```
MnAl2CrH
1.0
4.0504 0.0000 0.0000
0.0000 4.0504 0.0000
0.0000 0.0000 3.4478
Mn Al Cr H
1 2 1 1
Direct
0.0000 0.0000 0.0000
0.0000 0.5000 0.5000
0.5000 0.0000 0.5000
0.5000 0.5000 0.0000
0.5000 0.5000 0.5000
```

## Properties
Fermi-level density of states: 2.93 states/eV/f.u.
uncorrected energy: -5.943 eV per atom
space group: P4/mmm
ρ: 4753 kg/m3